# 1
A plane-wave DFT calculation with PBE was carried out for LaBi3Ir after structural relaxation.

Formation enthalpy at 0 K ... -0.323 eV per atom
Space group ... No. 6
E_tot ... -54.10 eV per cell
E above lowest polymorph ... 0.0000 eV per atom
Density ... 10744 kg/m3
DOS at the Fermi energy ... 5.2 states/eV per cell
Total magnetization ... 0.0000 μB per atom

```
LaBi3Ir
1.0
6.3331 0.0000 0.0000
0.0000 7.1289 0.0000
-0.0052 0.0000 6.5593
La Bi Ir
2 6 2
Cartesian
0.0000 0.0000 0.0000
2.0465 3.5645 3.2790
0.2076 3.5645 0.2734
1.8421 0.0000 3.5486
3.0030 1.8394 6.2216
3.0030 5.2896 6.2216
5.3728 1.7243 2.9461
5.3728 5.4047 2.9461
3.7287 0.0000 1.5228
4.6524 3.5645 4.8061
```

---

# 2
A plane-wave DFT calculation with PBE was carried out for La5Bi2Ir after structural relaxation.

Formation enthalpy at 0 K ... -0.547 eV per atom
Space group ... No. 8
E_tot ... -45.64 eV per cell
E above lowest polymorph ... 0.2794 eV per atom
Density ... 8096 kg/m3
DOS at the Fermi energy ... 8.5 states/eV per cell
Total magnetization ... 0.0000 μB per atom

```
La5Bi2Ir
1.0
4.3529 -5.4493 0.0000
4.3529 5.4493 0.0000
-4.2857 0.0000 5.6408
La Bi Ir
5 2 1
Cartesian
0.0000 0.0000 0.0000
6.8243 0.0000 2.4756
2.5370 0.0000 2.3668
2.5385 2.6687 5.1679
2.5385 -2.6687 5.1679
4.6738 2.7794 2.3138
4.6738 -2.7794 2.3138
-1.5120 0.0000 5.2182
```

---

# 3
A plane-wave DFT calculation with PBE was carried out for LaBi2Ir2 after structural relaxation.

Formation enthalpy at 0 K ... -0.215 eV per atom
Space group ... No. 139
E_tot ... -31.49 eV per cell
Density ... 12678 kg/m3
DOS at the Fermi energy ... 4.4 states/eV per cell
Total magnetization ... 0.0000 μB per atom

```
LaBi2Ir2
1.0
-2.3809 2.3809 5.4371
2.3809 -2.3809 5.4371
2.3809 2.3809 -5.4371
La Bi Ir
1 2 2
Cartesian
0.0000 0.0000 0.0000
2.3809 0.0000 2.7185
0.0000 2.3809 2.7185
0.0000 0.0000 4.1674
0.0000 0.0000 6.7068
```

---

# 4
A plane-wave DFT calculation with PBE was carried out for La6BiIr3 after structural relaxation.

Formation enthalpy at 0 K ... -0.753 eV per atom
Space group ... No. 11
E_tot ... -135.11 eV per cell
Density ... 8650 kg/m3
DOS at the Fermi energy ... 13.4 states/eV per cell
Total magnetization ... 0.0000 μB per atom

```
La6BiIr3
1.0
12.0612 0.0000 0.0000
0.0000 4.3363 0.0000
-3.7068 0.0000 11.8858
La Bi Ir
12 2 6
Cartesian
-1.1210 1.0841 4.6749
-2.2175 1.0841 11.2771
1.5120 3.2522 3.1009
0.5667 3.2522 9.1414
2.2561 1.0841 6.4197
4.7462 3.2522 1.0278
3.6082 1.0841 10.8580
6.0983 3.2522 5.4661
7.7877 1.0841 2.7444
6.8424 1.0841 8.7849
10.5719 3.2522 0.6087
9.4754 3.2522 7.2109
4.2208 1.0841 3.6704
4.1336 3.2522 8.2154
-0.1194 1.0841 1.9630
0.3273 3.2522 5.9077
0.7365 1.0841 10.9209
7.6179 3.2522 0.9649
8.0271 1.0841 5.9781
8.4738 3.2522 9.9228
```

---

# 5
A plane-wave DFT calculation with PBE was carried out for LaBiIr3 after structural relaxation.

Formation enthalpy at 0 K ... 0.934 eV per atom
Space group ... No. 221
E_tot ... -30.72 eV per cell
E above lowest polymorph ... 0.0000 eV per atom
Density ... 12187 kg/m3
DOS at the Fermi energy ... 11.2 states/eV per cell
Total magnetization ... 0.0001 μB per atom

```
LaBiIr3
1.0
5.0129 0.0000 0.0000
0.0000 5.0129 0.0000
0.0000 0.0000 5.0129
La Bi Ir
1 1 3
Cartesian
0.0000 0.0000 0.0000
2.5065 2.5065 2.5065
0.0000 2.5065 2.5065
2.5065 0.0000 2.5065
2.5065 2.5065 0.0000
```

---

# 6
A plane-wave DFT calculation with PBE was carried out for La6Bi2Ir after structural relaxation.

Formation enthalpy at 0 K ... -0.410 eV per atom
Space group ... No. 136
E_tot ... -99.75 eV per cell
Density ... 6363 kg/m3
DOS at the Fermi energy ... 31.0 states/eV per cell
Total magnetization ... 0.0001 μB per atom

```
La6Bi2Ir
1.0
7.3894 0.0000 0.0000
0.0000 7.3894 0.0000
0.0000 0.0000 13.7996
La Bi Ir
12 4 2
Cartesian
1.4117 1.4117 2.0799
1.4117 1.4117 11.7197
1.6876 1.6876 6.8998
2.0071 5.3823 0.0000
2.2830 5.1064 4.8199
2.2830 5.1064 8.9797
5.1064 2.2830 4.8199
5.1064 2.2830 8.9797
5.3823 2.0071 0.0000
5.7017 5.7017 6.8998
5.9777 5.9777 2.0799
5.9777 5.9777 11.7197
0.0000 0.0000 4.6560
0.0000 0.0000 9.1436
3.6947 3.6947 2.2438
3.6947 3.6947 11.5558
0.0000 0.0000 0.0000
3.6947 3.6947 6.8998
```

---

> E_tot of number 3 (LaBi2Ir2)?

-31.49 eV per cell